Record 1
First-principles (PBE-GGA) data for a relaxed structure of LaB4Ru5, as listed in Alexandria.

The structure in POSCAR format:
```
LaB4Ru5
1.0
6.0828 0.0000 0.0000
0.0000 9.8484 0.0000
0.0000 0.0000 4.9923
La B Ru
2 8 10
direct
0.2500 0.2500 0.2089
0.7500 0.7500 0.7911
0.0022 0.2500 0.6824
0.2500 0.5321 0.9941
0.2500 0.9679 0.9941
0.4978 0.2500 0.6824
0.5022 0.7500 0.3176
0.7500 0.0321 0.0059
0.7500 0.4679 0.0059
0.9978 0.7500 0.3176
0.0166 0.0479 0.7294
0.0166 0.4521 0.7294
0.2500 0.7500 0.0570
0.4834 0.0479 0.7294
0.4834 0.4521 0.7294
0.5166 0.5479 0.2706
0.5166 0.9521 0.2706
0.7500 0.2500 0.9430
0.9834 0.5479 0.2706
0.9834 0.9521 0.2706
```

- Total DFT energy (no corrections): -7.8356 eV/atom
- M_tot: 0.000 μB/f.u.
- ΔH_f (0 K): -0.34 eV per formula unit
- Space-group type: Pmmn

Record 2
First-principles (PBE-GGA) data for a relaxed structure of CePrDy2Er4, as listed in Alexandria.

The structure in POSCAR format:
```
CePrDy2Er4
1.0
5.0245 0.0000 0.0000
0.0000 5.0463 0.0000
0.0000 0.0000 9.9333
Ce Pr Dy Er
1 1 2 4
direct
0.0000 0.0000 0.0000
0.5000 0.5000 0.5000
0.0000 0.0000 0.5000
0.5000 0.5000 0.0000
0.0000 0.5000 0.2457
0.0000 0.5000 0.7543
0.5000 0.0000 0.2460
0.5000 0.0000 0.7540
```

- Total DFT energy (no corrections): -4.7222 eV/atom
- M_tot: 1.009 μB/f.u.
- ΔH_f (0 K): 0.39 eV per formula unit
- Space-group type: Pmmm

- Look up the ΔH_f (0 K) of the first one.
  -0.34 eV per formula unit

- Among the records above, which one has the highest ΔH_f (0 K)?
  CePrDy2Er4

- Number 1 is which compound?
  LaB4Ru5